[1]
A PBEsol-optimized structure of MnNiP. Source: the Alexandria database, functional meta-GGA SCAN.

```
MnNiP
1.0
3.7349 0.0000 0.0000
1.8675 3.2345 0.0000
1.8675 1.0782 3.0495
Mn Ni P
1 1 1
Direct
0.2500 0.2500 0.2500
0.0000 0.0000 0.0000
0.5000 0.5000 0.5000
```

- Final energy: -45.3 eV/cell
- Formation enthalpy at 0 K: -0.16 eV/atom
- Magnetization: 2.731 μB per formula unit

***

[2]
A PBEsol-optimized structure of MnNiP. Source: the Alexandria database, functional meta-GGA SCAN.

```
MnNiP
1.0
-0.3860 -1.3062 3.1146
5.6966 -0.9052 0.3263
-2.2387 5.0048 1.8214
Mn Ni P
3 3 3
Direct
0.5000 0.3998 0.3998
0.5000 0.0000 0.6002
0.5000 0.6002 0.0000
0.0000 0.7428 0.7428
0.0000 0.0000 0.2572
0.0000 0.2572 0.0000
0.0000 0.6667 0.3333
0.0000 0.3333 0.6667
0.5000 0.0000 0.0000
```

- Final energy: -140.4 eV/cell
- Formation enthalpy at 0 K: -0.66 eV/atom
- Magnetization: 2.735 μB per formula unit

***

[3]
A PBEsol-optimized structure of Mn2NiPb. Source: the Alexandria database, functional meta-GGA SCAN.

```
Mn2NiPb
1.0
3.8621 0.0000 0.0000
0.0000 3.8621 0.0000
-1.9310 -1.9310 3.9453
Mn Ni Pb
2 1 1
Direct
0.0000 0.0000 0.0000
0.7500 0.2500 0.5000
0.5000 0.5000 0.0000
0.2500 0.7500 0.5000
```

- Final energy: -128.0 eV/cell
- Formation enthalpy at 0 K: 0.11 eV/atom
- Magnetization: 8.131 μB per formula unit

***

[4]
A PBEsol-optimized structure of MnNiPb2. Source: the Alexandria database, functional meta-GGA SCAN.

```
MnNiPb2
1.0
-3.1855 -3.6075 0.7593
-0.7151 -3.3815 -3.4340
1.5939 -4.5516 0.6937
Mn Ni Pb
1 1 2
Direct
0.5000 0.5000 0.5000
0.2500 0.2500 0.2500
0.0000 0.0000 0.0000
0.7500 0.7500 0.7500
```

- Final energy: -184.0 eV/cell
- ΔE to the lowest computed polymorph: 191 meV per atom
- Formation enthalpy at 0 K: 0.51 eV/atom
- Magnetization: 5.005 μB per formula unit

***

[5]
A PBEsol-optimized structure of MnNiPb2. Source: the Alexandria database, functional meta-GGA SCAN.

```
MnNiPb2
1.0
-0.5223 -2.9908 1.3518
4.2148 0.2580 2.1992
-2.0679 2.0441 3.7234
Mn Ni Pb
1 1 2
Direct
0.5000 0.5000 0.0000
0.5000 0.0000 0.5000
0.0000 0.0000 0.0000
0.0000 0.5000 0.5000
```

- Final energy: -184.7 eV/cell
- ΔE to the lowest computed polymorph: 0 meV per atom
- Formation enthalpy at 0 K: 0.32 eV/atom
- Magnetization: 3.869 μB per formula unit

***

[6]
A PBEsol-optimized structure of Mn2NiPb. Source: the Alexandria database, functional meta-GGA SCAN.

```
Mn2NiPb
1.0
-1.0324 -2.9000 0.3857
1.8700 -2.1656 1.1992
-2.2629 0.1966 7.8968
Mn Ni Pb
2 1 1
Direct
0.2352 0.2352 0.2946
0.7648 0.7648 0.7054
0.5000 0.5000 0.5000
0.0000 0.0000 0.0000
```

- Final energy: -127.9 eV/cell
- Formation enthalpy at 0 K: 0.15 eV/atom
- Magnetization: 8.547 μB per formula unit

***

[7]
A PBEsol-optimized structure of Mn2NiPb. Source: the Alexandria database, functional meta-GGA SCAN.

```
Mn2NiPb
1.0
4.2739 0.0000 0.0000
2.1370 3.7013 0.0000
2.1370 1.2338 3.4896
Mn Ni Pb
2 1 1
Direct
0.0000 0.0000 0.0000
0.7500 0.7500 0.7500
0.5000 0.5000 0.5000
0.2500 0.2500 0.2500
```

- Final energy: -127.6 eV/cell
- Formation enthalpy at 0 K: 0.22 eV/atom
- Magnetization: 4.084 μB per formula unit

***

[8]
A PBEsol-optimized structure of MnNiPb3. Source: the Alexandria database, functional meta-GGA SCAN.

```
MnNiPb3
1.0
-0.5316 2.8408 4.1279
-3.1388 -3.4245 1.9526
3.9061 -2.3653 2.1308
Pb Ni Mn
3 1 1
Direct
0.0000 0.5000 0.0000
0.0000 0.0000 0.5000
0.5000 0.0000 0.0000
0.0000 0.0000 0.0000
0.5000 0.5000 0.5000
```

- Final energy: -260.0 eV/cell
- Formation enthalpy at 0 K: 0.36 eV/atom
- Magnetization: 4.842 μB per formula unit

***

[9]
A PBEsol-optimized structure of Mn3NiPd. Source: the Alexandria database, functional meta-GGA SCAN.

```
Mn3NiPd
1.0
4.3723 0.0000 0.0000
0.0000 4.3723 0.0000
0.0000 0.0000 4.3723
Ni Mn Pd
1 3 1
Direct
0.0000 0.0000 0.0000
0.0000 0.5000 0.0000
0.0000 0.0000 0.5000
0.5000 0.0000 0.0000
0.5000 0.5000 0.5000
```

- Final energy: -102.0 eV/cell
- Formation enthalpy at 0 K: 0.35 eV/atom
- Magnetization: 13.475 μB per formula unit

***

[10]
A PBEsol-optimized structure of MnNiSn2Pd. Source: the Alexandria database, functional meta-GGA SCAN.

```
MnNiSn2Pd
1.0
4.6190 0.0000 0.0000
0.0000 4.8118 0.0000
0.0000 0.0000 4.8118
Ni Mn Sn Pd
1 1 2 1
Direct
0.5000 0.5000 0.5000
0.0000 0.0000 0.0000
0.0000 0.0000 0.5000
0.0000 0.5000 0.0000
0.5000 0.0000 0.0000
```

- Final energy: -135.1 eV/cell
- Formation enthalpy at 0 K: 0.80 eV/atom
- Magnetization: 4.235 μB per formula unit

***

[11]
A PBEsol-optimized structure of MnNiPt2. Source: the Alexandria database, functional meta-GGA SCAN.

```
MnNiPt2
1.0
3.7303 0.0000 0.0000
0.0000 3.7303 0.0000
-1.8651 -1.8651 3.8193
Ni Mn Pt
1 1 2
Direct
0.7500 0.2500 0.5000
0.5000 0.5000 0.0000
0.0000 0.0000 0.0000
0.2500 0.7500 0.5000
```

- Final energy: -176.6 eV/cell
- Formation enthalpy at 0 K: -0.44 eV/atom
- Magnetization: 5.153 μB per formula unit

***

[12]
A PBEsol-optimized structure of MnNiPt2. Source: the Alexandria database, functional meta-GGA SCAN.

```
MnNiPt2
1.0
-2.4516 0.9676 0.6294
-1.1389 -0.6363 2.3750
2.3847 6.8871 4.5346
Mn Ni Pt
1 1 2
Direct
0.5000 0.5000 0.5000
0.0000 0.0000 0.0000
0.2505 0.2505 0.2485
0.7495 0.7495 0.7515
```

- Final energy: -176.0 eV/cell
- Formation enthalpy at 0 K: -0.31 eV/atom
- Magnetization: 2.962 μB per formula unit